# Be2NiSn2 | Alexandria via LeMat-Bulk | GGA-PBE | optimized geometry
# Energy above the most stable polymorph in this dataset (kcal/mol of atoms): 0.000
# Energy relative to the elements (eV per atom): 0.2876
data_Be2NiSn2
_cell_length_a 6.296
_cell_length_b 6.296
_cell_length_c 3.851
_cell_angle_alpha 90.00
_cell_angle_beta 90.00
_cell_angle_gamma 90.00
_symmetry_space_group_name_H-M 'P 4/m b m'
_symmetry_Int_Tables_number 127
_symmetry_space_group_name_Hall '-P 4 2ab'
loop_
_atom_site_label
_atom_site_type_symbol
_atom_site_fract_x
_atom_site_fract_y
_atom_site_fract_z
Be1 Be 0.127 0.373 0.000
Ni1 Ni 0.000 0.000 0.000
Sn1 Sn 0.180 0.680 0.500

# Be3NiSn | Alexandria via LeMat-Bulk | GGA-PBE | optimized geometry
# Energy above the most stable polymorph in this dataset (kcal/mol of atoms): 25.345
# Energy relative to the elements (eV per atom): 1.4867
data_Be3NiSn
_cell_length_a 4.481
_cell_length_b 4.481
_cell_length_c 4.481
_cell_angle_alpha 90.00
_cell_angle_beta 90.00
_cell_angle_gamma 90.00
_symmetry_space_group_name_H-M 'P m -3 m'
_symmetry_Int_Tables_number 221
_symmetry_space_group_name_Hall '-P 4 2 3'
loop_
_atom_site_label
_atom_site_type_symbol
_atom_site_fract_x
_atom_site_fract_y
_atom_site_fract_z
Be1 Be 0.000 0.000 0.500
Ni1 Ni 0.500 0.500 0.500
Sn1 Sn 0.000 0.000 0.000

# Be2NiSn2 | Alexandria via LeMat-Bulk | GGA-PBE | optimized geometry
# Energy above the most stable polymorph in this dataset (kcal/mol of atoms): 12.042
# Energy relative to the elements (eV per atom): 0.8098
data_Be2NiSn2
_cell_length_a 4.130
_cell_length_b 4.130
_cell_length_c 10.521
_cell_angle_alpha 90.00
_cell_angle_beta 90.00
_cell_angle_gamma 90.00
_symmetry_space_group_name_H-M 'I 4/m m m'
_symmetry_Int_Tables_number 139
_symmetry_space_group_name_Hall '-I 4 2'
loop_
_atom_site_label
_atom_site_type_symbol
_atom_site_fract_x
_atom_site_fract_y
_atom_site_fract_z
Be1 Be 0.000 0.000 0.096
Ni1 Ni 0.000 0.000 0.500
Sn1 Sn 0.000 0.500 0.250

# BeNiSn3 | Alexandria via LeMat-Bulk | GGA-PBE | optimized geometry
# Energy above the most stable polymorph in this dataset (kcal/mol of atoms): 3.019
# Energy relative to the elements (eV per atom): 0.6584
data_BeNiSn3
_cell_length_a 4.822
_cell_length_b 4.822
_cell_length_c 4.822
_cell_angle_alpha 90.00
_cell_angle_beta 90.00
_cell_angle_gamma 90.00
_symmetry_space_group_name_H-M 'P m -3 m'
_symmetry_Int_Tables_number 221
_symmetry_space_group_name_Hall '-P 4 2 3'
loop_
_atom_site_label
_atom_site_type_symbol
_atom_site_fract_x
_atom_site_fract_y
_atom_site_fract_z
Be1 Be 0.000 0.000 0.000
Ni1 Ni 0.500 0.500 0.500
Sn1 Sn 0.000 0.000 0.500

# BeNiSn2 | Alexandria via LeMat-Bulk | GGA-PBE | optimized geometry
# Energy relative to the elements (eV per atom): 0.3279
data_BeNiSn2
_cell_length_a 4.354
_cell_length_b 4.354
_cell_length_c 16.346
_cell_angle_alpha 90.00
_cell_angle_beta 90.00
_cell_angle_gamma 90.00
_symmetry_space_group_name_H-M 'I -4 2 d'
_symmetry_Int_Tables_number 122
_symmetry_space_group_name_Hall 'I -4 2bw'
loop_
_atom_site_label
_atom_site_type_symbol
_atom_site_fract_x
_atom_site_fract_y
_atom_site_fract_z
Be1 Be 0.000 0.000 0.000
Ni1 Ni 0.000 0.000 0.500
Sn1 Sn 0.249 0.250 0.625

# Be3Ni10Sn | Alexandria via LeMat-Bulk | GGA-PBE | optimized geometry
# Energy relative to the elements (eV per atom): -0.0728
data_Be3Ni10Sn
_cell_length_a 10.790
_cell_length_b 10.790
_cell_length_c 10.790
_cell_angle_alpha 90.00
_cell_angle_beta 90.00
_cell_angle_gamma 90.00
_symmetry_space_group_name_H-M 'F m -3 m'
_symmetry_Int_Tables_number 225
_symmetry_space_group_name_Hall '-F 4 2 3'
loop_
_atom_site_label
_atom_site_type_symbol
_atom_site_fract_x
_atom_site_fract_y
_atom_site_fract_z
Be1 Be 0.000 0.000 0.225
Ni1 Ni 0.000 0.169 0.331
Ni2 Ni 0.118 0.118 0.118
Sn1 Sn 0.250 0.250 0.250

# BeNiSn3 | Alexandria via LeMat-Bulk | GGA-PBE | optimized geometry
# Energy above the most stable polymorph in this dataset (kcal/mol of atoms): 0.000
# Energy relative to the elements (eV per atom): 0.5275
data_BeNiSn3
_cell_length_a 4.947
_cell_length_b 4.947
_cell_length_c 4.947
_cell_angle_alpha 90.00
_cell_angle_beta 90.00
_cell_angle_gamma 90.00
_symmetry_space_group_name_H-M 'P m -3 m'
_symmetry_Int_Tables_number 221
_symmetry_space_group_name_Hall '-P 4 2 3'
loop_
_atom_site_label
_atom_site_type_symbol
_atom_site_fract_x
_atom_site_fract_y
_atom_site_fract_z
Be1 Be 0.000 0.000 0.000
Ni1 Ni 0.500 0.500 0.500
Sn1 Sn 0.000 0.500 0.500

# Be2Ni2Sn | Alexandria via LeMat-Bulk | GGA-PBE | optimized geometry
# Energy above the most stable polymorph in this dataset (kcal/mol of atoms): 0.000
# Energy relative to the elements (eV per atom): -0.1312
data_Be2Ni2Sn
_cell_length_a 6.354
_cell_length_b 6.354
_cell_length_c 2.881
_cell_angle_alpha 90.00
_cell_angle_beta 90.00
_cell_angle_gamma 90.00
_symmetry_space_group_name_H-M 'P 4/m b m'
_symmetry_Int_Tables_number 127
_symmetry_space_group_name_Hall '-P 4 2ab'
loop_
_atom_site_label
_atom_site_type_symbol
_atom_site_fract_x
_atom_site_fract_y
_atom_site_fract_z
Be1 Be 0.119 0.381 0.000
Ni1 Ni 0.158 0.658 0.500
Sn1 Sn 0.000 0.000 0.000

# Be3NiSn | Alexandria via LeMat-Bulk | GGA-PBE | optimized geometry
# Energy above the most stable polymorph in this dataset (kcal/mol of atoms): 0.000
# Energy relative to the elements (eV per atom): 0.3876
data_Be3NiSn
_cell_length_a 4.099
_cell_length_b 4.099
_cell_length_c 4.099
_cell_angle_alpha 90.00
_cell_angle_beta 90.00
_cell_angle_gamma 90.00
_symmetry_space_group_name_H-M 'P m -3 m'
_symmetry_Int_Tables_number 221
_symmetry_space_group_name_Hall '-P 4 2 3'
loop_
_atom_site_label
_atom_site_type_symbol
_atom_site_fract_x
_atom_site_fract_y
_atom_site_fract_z
Be1 Be 0.000 0.000 0.500
Ni1 Ni 0.000 0.000 0.000
Sn1 Sn 0.500 0.500 0.500

# Be2NiSn | Alexandria via LeMat-Bulk | GGA-PBE | optimized geometry
# Energy relative to the elements (eV per atom): 0.3159
data_Be2NiSn
_cell_length_a 3.849
_cell_length_b 3.849
_cell_length_c 15.630
_cell_angle_alpha 90.00
_cell_angle_beta 90.00
_cell_angle_gamma 90.00
_symmetry_space_group_name_H-M 'I -4 2 d'
_symmetry_Int_Tables_number 122
_symmetry_space_group_name_Hall 'I -4 2bw'
loop_
_atom_site_label
_atom_site_type_symbol
_atom_site_fract_x
_atom_site_fract_y
_atom_site_fract_z
Be1 Be 0.114 0.250 0.125
Ni1 Ni 0.000 0.000 0.000
Sn1 Sn 0.000 0.000 0.500

# Be2Ni2Sn | Alexandria via LeMat-Bulk | GGA-PBE | optimized geometry
# Energy above the most stable polymorph in this dataset (kcal/mol of atoms): 1.564
# Energy relative to the elements (eV per atom): -0.0634
data_Be2Ni2Sn
_cell_length_a 6.510
_cell_length_b 6.510
_cell_length_c 2.874
_cell_angle_alpha 90.00
_cell_angle_beta 90.00
_cell_angle_gamma 90.00
_symmetry_space_group_name_H-M 'P 4/m b m'
_symmetry_Int_Tables_number 127
_symmetry_space_group_name_Hall '-P 4 2ab'
loop_
_atom_site_label
_atom_site_type_symbol
_atom_site_fract_x
_atom_site_fract_y
_atom_site_fract_z
Be1 Be 0.135 0.365 0.000
Ni1 Ni 0.142 0.642 0.500
Sn1 Sn 0.000 0.000 0.500

# Be2TcNiSn | Alexandria via LeMat-Bulk | GGA-PBE | optimized geometry
# Energy relative to the elements (eV per atom): 0.5608
data_Be2TcNiSn
_cell_length_a 4.037
_cell_length_b 4.037
_cell_length_c 4.585
_cell_angle_alpha 90.00
_cell_angle_beta 90.00
_cell_angle_gamma 90.00
_symmetry_space_group_name_H-M 'P 4/m m m'
_symmetry_Int_Tables_number 123
_symmetry_space_group_name_Hall '-P 4 2'
loop_
_atom_site_label
_atom_site_type_symbol
_atom_site_fract_x
_atom_site_fract_y
_atom_site_fract_z
Be1 Be 0.000 0.500 0.000
Tc1 Tc 0.000 0.000 0.500
Ni1 Ni 0.000 0.000 0.000
Sn1 Sn 0.500 0.500 0.500

# SrBe2Ni | Alexandria via LeMat-Bulk | GGA-PBE | optimized geometry
# Energy above the most stable polymorph in this dataset (kcal/mol of atoms): 11.124
# Energy relative to the elements (eV per atom): 0.4122
data_SrBe2Ni
_cell_length_a 3.836
_cell_length_b 5.530
_cell_length_c 6.978
_cell_angle_alpha 90.00
_cell_angle_beta 90.00
_cell_angle_gamma 90.00
_symmetry_space_group_name_H-M 'I m m m'
_symmetry_Int_Tables_number 71
_symmetry_space_group_name_Hall '-I 2 2'
loop_
_atom_site_label
_atom_site_type_symbol
_atom_site_fract_x
_atom_site_fract_y
_atom_site_fract_z
Sr1 Sr 0.000 0.000 0.000
Be1 Be 0.000 0.500 0.151
Ni1 Ni 0.000 0.000 0.500

Record-wise total moment values, in μB per formula unit: 0.000; 0.000; 0.001; 0.000; 0.000; 1.170; 0.000; 0.000; 0.000; 0.000; 0.000; 0.422; 0.000